Record 1
Density functional theory data (PBE-GGA) for a geometry-optimized Cs2MgInF6 structure.

The structure in CIF format:
```
data_Cs2MgInF6
_cell_length_a 6.296
_cell_length_b 8.905
_cell_length_c 6.298
_cell_angle_alpha 90.00
_cell_angle_beta 90.00
_cell_angle_gamma 90.00
_symmetry_space_group_name_H-M 'P m m n'
_symmetry_Int_Tables_number 59
loop_
_symmetry_equiv_pos_as_xyz
'x,y,z'
'-x,-y,-z'
'-x+1/2,-y+1/2,z'
'x+1/2,y+1/2,-z'
'x+1/2,-y,-z'
'-x+1/2,y,z'
'-x,y+1/2,-z'
'x,-y+1/2,z'
loop_
_atom_site_label
_atom_site_type_symbol
_atom_site_fract_x
_atom_site_fract_y
_atom_site_fract_z
Cs1 Cs 0.250 0.000 0.250
Mg1 Mg 0.250 0.250 0.750
In1 In 0.250 0.750 0.750
F1 F 0.017 0.250 0.517
F2 F 0.017 0.250 0.982
F3 F 0.250 0.017 0.750
```

Calculated values
Energy relative to the elements, uncorrected (eV/f.u.): -27.69
Electronic total energy (eV/atom): -4.496



Record 2
Density functional theory data (PBE-GGA) for a geometry-optimized NaSm3Ag4 structure.

The structure in CIF format:
```
data_NaSm3Ag4
_cell_length_a 5.2030
_cell_length_b 5.2030
_cell_length_c 25.5626
_cell_angle_alpha 90.00
_cell_angle_beta 90.00
_cell_angle_gamma 120.00
_symmetry_space_group_name_H-M 'R -3 m'
_symmetry_Int_Tables_number 166
_symmetry_space_group_name_Hall '-R 3 2"'
loop_
_atom_site_label
_atom_site_type_symbol
_atom_site_fract_x
_atom_site_fract_y
_atom_site_fract_z
Na1 Na 0.0000 0.0000 0.0000
Sm1 Sm 0.0000 0.0000 0.2534
Sm2 Sm 0.0000 0.0000 0.5000
Ag1 Ag 0.0000 0.0000 0.1294
Ag2 Ag 0.0000 0.0000 0.3775
```

Calculated values
Formation enthalpy at 0 K (eV/atom): -0.193
Electronic total energy (eV/atom): -3.553



Copy entry 1 word for word.
Density functional theory data (PBE-GGA) for a geometry-optimized Cs2MgInF6 structure.

The structure in CIF format:
```
data_Cs2MgInF6
_cell_length_a 6.296
_cell_length_b 8.905
_cell_length_c 6.298
_cell_angle_alpha 90.00
_cell_angle_beta 90.00
_cell_angle_gamma 90.00
_symmetry_space_group_name_H-M 'P m m n'
_symmetry_Int_Tables_number 59
loop_
_symmetry_equiv_pos_as_xyz
'x,y,z'
'-x,-y,-z'
'-x+1/2,-y+1/2,z'
'x+1/2,y+1/2,-z'
'x+1/2,-y,-z'
'-x+1/2,y,z'
'-x,y+1/2,-z'
'x,-y+1/2,z'
loop_
_atom_site_label
_atom_site_type_symbol
_atom_site_fract_x
_atom_site_fract_y
_atom_site_fract_z
Cs1 Cs 0.250 0.000 0.250
Mg1 Mg 0.250 0.250 0.750
In1 In 0.250 0.750 0.750
F1 F 0.017 0.250 0.517
F2 F 0.017 0.250 0.982
F3 F 0.250 0.017 0.750
```

Calculated values
Energy relative to the elements, uncorrected (eV/f.u.): -27.69
Electronic total energy (eV/atom): -4.496